[1]
The following is a PBE calculation of a relaxed AcHoAsO2 crystal, from the Alexandria database.

Summary:
N(E_F) ... 7.49 states/eV per cell
E_form (uncorrected) ... -2.45 eV/atom
Symmetry ... Cmcm (63)

Cell and atoms, written as CIF:
```
data_AcHoAsO2
_chemical_formula_sum 'Ac2 Ho2 As2 O4'
_symmetry_space_group_name_H-M 'P 1'
_symmetry_Int_Tables_number 1
_symmetry_space_group_name_Hall 'P 1'
_cell_length_a 6.705
_cell_length_b 6.705
_cell_length_c 7.537
_cell_angle_alpha 90.00
_cell_angle_beta 90.00
_cell_angle_gamma 144.24
loop_
_atom_site_label
_atom_site_type_symbol
_atom_site_fract_x
_atom_site_fract_y
_atom_site_fract_z
Ac1 Ac 0.228 0.772 0.750
Ac2 Ac 0.772 0.228 0.250
Ho1 Ho 0.500 0.500 0.000
Ho2 Ho 0.500 0.500 0.500
As1 As 0.047 0.953 0.250
As2 As 0.953 0.047 0.750
O1 O 0.332 0.668 0.056
O2 O 0.332 0.668 0.444
O3 O 0.668 0.332 0.556
O4 O 0.668 0.332 0.944
```

=====

[2]
The following is a PBE calculation of a relaxed BaLiLaAu crystal, from the Alexandria database.

Summary:
N(E_F) ... 4.30 states/eV per cell
Symmetry ... F-43m (216)
Formation enthalpy at 0 K ... -0.2392 eV per atom

Cell and atoms, written as CIF:
```
data_BaLiLaAu
_chemical_formula_sum 'Ba1 Li1 La1 Au1'
_symmetry_space_group_name_H-M 'P 1'
_symmetry_Int_Tables_number 1
_symmetry_space_group_name_Hall 'P 1'
_cell_length_a 5.577
_cell_length_b 5.577
_cell_length_c 5.577
_cell_angle_alpha 60.00
_cell_angle_beta 60.00
_cell_angle_gamma 60.00
loop_
_atom_site_label
_atom_site_type_symbol
_atom_site_fract_x
_atom_site_fract_y
_atom_site_fract_z
Ba1 Ba 0.000 0.000 0.000
Li1 Li 0.750 0.750 0.750
La1 La 0.500 0.500 0.500
Au1 Au 0.250 0.250 0.250
```

=====

[3]
The following is a PBE calculation of a relaxed B5C7 crystal, from the Alexandria database.

Summary:
N(E_F) ... 1.05 states/eV per cell
Symmetry ... Pm (6)
Formation enthalpy at 0 K ... 0.3662 eV per atom
ΔE to the lowest computed polymorph ... 108 meV per atom

Cell and atoms, written as CIF:
```
data_B5C7
_chemical_formula_sum 'B5 C7'
_symmetry_space_group_name_H-M 'P 1'
_symmetry_Int_Tables_number 1
_symmetry_space_group_name_Hall 'P 1'
_cell_length_a 4.480
_cell_length_b 2.632
_cell_length_c 6.763
_cell_angle_alpha 90.00
_cell_angle_beta 90.90
_cell_angle_gamma 90.00
loop_
_atom_site_label
_atom_site_type_symbol
_atom_site_fract_x
_atom_site_fract_y
_atom_site_fract_z
B1 B 0.000 0.000 0.000
B2 B 0.105 0.500 0.333
B3 B 0.288 0.000 0.471
B4 B 0.554 0.000 0.128
B5 B 0.710 0.500 0.467
C1 C 0.112 0.500 0.103
C2 C 0.276 0.000 0.709
C3 C 0.441 0.500 0.790
C4 C 0.455 0.500 0.018
C5 C 0.627 0.000 0.355
C6 C 0.765 0.500 0.702
C7 C 0.931 0.000 0.772
```

=====

[4]
The following is a PBE calculation of a relaxed GeAs2CBr crystal, from the Alexandria database.

Summary:
N(E_F) ... 2.34 states/eV per cell
E_form (uncorrected) ... 1.16 eV/atom
Symmetry ... P4/mmm (123)
ΔE to the lowest computed polymorph ... 0 meV per atom

Cell and atoms, written as CIF:
```
data_GeAs2CBr
_chemical_formula_sum 'Ge1 As2 C1 Br1'
_symmetry_space_group_name_H-M 'P 1'
_symmetry_Int_Tables_number 1
_symmetry_space_group_name_Hall 'P 1'
_cell_length_a 4.419
_cell_length_b 4.419
_cell_length_c 4.761
_cell_angle_alpha 90.00
_cell_angle_beta 90.00
_cell_angle_gamma 90.00
loop_
_atom_site_label
_atom_site_type_symbol
_atom_site_fract_x
_atom_site_fract_y
_atom_site_fract_z
Ge1 Ge 0.000 0.000 0.000
As1 As 0.000 0.500 0.500
As2 As 0.500 0.000 0.500
C1 C 0.500 0.500 0.500
Br1 Br 0.500 0.500 0.000
```

=====

[5]
The following is a PBE calculation of a relaxed PmZrIrPt crystal, from the Alexandria database.

Summary:
N(E_F) ... 4.50 states/eV per cell
Symmetry ... F-43m (216)
Formation enthalpy at 0 K ... -0.7437 eV per atom

Cell and atoms, written as CIF:
```
data_PmZrIrPt
_chemical_formula_sum 'Pm1 Zr1 Ir1 Pt1'
_symmetry_space_group_name_H-M 'P 1'
_symmetry_Int_Tables_number 1
_symmetry_space_group_name_Hall 'P 1'
_cell_length_a 4.864
_cell_length_b 4.864
_cell_length_c 4.864
_cell_angle_alpha 60.00
_cell_angle_beta 60.00
_cell_angle_gamma 60.00
loop_
_atom_site_label
_atom_site_type_symbol
_atom_site_fract_x
_atom_site_fract_y
_atom_site_fract_z
Pm1 Pm 0.000 0.000 0.000
Zr1 Zr 0.500 0.500 0.500
Ir1 Ir 0.250 0.250 0.250
Pt1 Pt 0.750 0.750 0.750
```

=====

[6]
The following is a PBE calculation of a relaxed TaTl2GaS5 crystal, from the Alexandria database.

Summary:
E_form (uncorrected) ... -0.69 eV/atom
Symmetry ... Cmc2_1 (36)

Cell and atoms, written as CIF:
```
data_TaTl2GaS5
_chemical_formula_sum 'Ta2 Tl4 Ga2 S10'
_symmetry_space_group_name_H-M 'P 1'
_symmetry_Int_Tables_number 1
_symmetry_space_group_name_Hall 'P 1'
_cell_length_a 9.147
_cell_length_b 9.147
_cell_length_c 14.296
_cell_angle_alpha 90.00
_cell_angle_beta 90.00
_cell_angle_gamma 157.11
loop_
_atom_site_label
_atom_site_type_symbol
_atom_site_fract_x
_atom_site_fract_y
_atom_site_fract_z
Ta1 Ta 0.219 0.781 0.500
Ta2 Ta 0.781 0.219 0.000
Tl1 Tl 0.099 0.901 0.154
Tl2 Tl 0.130 0.870 0.791
Tl3 Tl 0.870 0.130 0.291
Tl4 Tl 0.901 0.099 0.654
Ga1 Ga 0.439 0.561 0.909
Ga2 Ga 0.561 0.439 0.409
S1 S 0.059 0.941 0.509
S2 S 0.290 0.710 0.113
S3 S 0.308 0.692 0.878
S4 S 0.342 0.658 0.474
S5 S 0.499 0.501 0.773
S6 S 0.501 0.499 0.273
S7 S 0.658 0.342 0.974
S8 S 0.692 0.308 0.378
S9 S 0.710 0.290 0.613
S10 S 0.941 0.059 0.009
```